No. 1
The following is a DFT calculation (PBE-GGA) of a geometry-optimized LuSbN2O structure.

- VASP energy (eV/cell) = -281.6
- size of the total moment (μB per formula unit) = 0.00

The structure in CIF format:
```
data_LuSbN2O
_symmetry_space_group_name_H-M 'P 1 21/c 1'
_symmetry_Int_Tables_number 14
_symmetry_space_group_name_Hall '-P 2ybc'
_cell_length_a 8.2785
_cell_length_b 7.3766
_cell_length_c 11.2510
_cell_angle_alpha 90.00
_cell_angle_beta 132.38
_cell_angle_gamma 90.00
loop_
_atom_site_label
_atom_site_type_symbol
_atom_site_fract_x
_atom_site_fract_y
_atom_site_fract_z
_atom_site_occupancy
Lu1 Lu 0.1226 0.0128 0.1957 1
Lu2 Lu 0.1715 0.5353 0.2066 1
Sb1 Sb 0.3163 0.2420 0.5384 1
Sb2 Sb 0.3315 0.7479 0.0343 1
N1 N 0.1915 0.5085 0.0083 1
N2 N 0.2616 0.0041 0.9523 1
N3 N 0.3646 0.2384 0.2449 1
N4 N 0.3847 0.6966 0.8814 1
O1 O 0.0407 0.2325 0.2818 1
O2 O 0.0761 0.6905 0.5369 1
```

No. 2
The following is a DFT calculation (PBE-GGA) of a geometry-optimized LuSbN2O structure.

- VASP energy (eV/cell) = -70.6
- size of the total moment (μB per formula unit) = 0.00

The structure in CIF format:
```
data_LuSbN2O
_symmetry_space_group_name_H-M 'P m c 21'
_symmetry_Int_Tables_number 26
_symmetry_space_group_name_Hall 'P 2c -2'
_cell_length_a 3.5205
_cell_length_b 6.3205
_cell_length_c 5.8521
_cell_angle_alpha 90.00
_cell_angle_beta 90.00
_cell_angle_gamma 90.00
loop_
_atom_site_label
_atom_site_type_symbol
_atom_site_fract_x
_atom_site_fract_y
_atom_site_fract_z
_atom_site_occupancy
Lu1 Lu 0.0000 0.1538 0.0000 1
Sb1 Sb 0.5000 0.3265 0.5386 1
N1 N 0.0000 0.1869 0.6087 1
N2 N 0.5000 0.3895 0.8965 1
O1 O 0.5000 0.1203 0.2601 1
```

No. 3
The following is a DFT calculation (PBE-GGA) of a geometry-optimized LuSbN2O structure.

- VASP energy (eV/cell) = -197.2
- size of the total moment (μB per formula unit) = 0.00

The structure in CIF format:
```
data_LuSbN2O
_symmetry_space_group_name_H-M 'P 63/m m c'
_symmetry_Int_Tables_number 194
_symmetry_space_group_name_Hall '-P 6c 2c'
_cell_length_a 5.7400
_cell_length_b 5.7400
_cell_length_c 13.9409
_cell_angle_alpha 90.00
_cell_angle_beta 90.00
_cell_angle_gamma 120.00
loop_
_atom_site_label
_atom_site_type_symbol
_atom_site_fract_x
_atom_site_fract_y
_atom_site_fract_z
_atom_site_occupancy
Lu1 Lu 0.0000 0.0000 0.2500 1
Lu2 Lu 0.3333 0.6667 0.1354 1
Sb1 Sb 0.0000 0.0000 0.0000 1
Sb2 Sb 0.3333 0.6667 0.6380 1
N1 N 0.1465 0.2930 0.6030 1
O1 O 0.0145 0.5073 0.2500 1
```

No. 4
The following is a DFT calculation (PBE-GGA) of a geometry-optimized LuSbN2O structure.

- VASP energy (eV/cell) = -282.6
- size of the total moment (μB per formula unit) = 0.00

The structure in CIF format:
```
data_LuSbN2O
_symmetry_space_group_name_H-M 'P 1'
_symmetry_Int_Tables_number 1
_symmetry_space_group_name_Hall 'P 1'
_cell_length_a 7.7590
_cell_length_b 7.9407
_cell_length_c 7.9848
_cell_angle_alpha 89.58
_cell_angle_beta 89.79
_cell_angle_gamma 87.65
loop_
_atom_site_label
_atom_site_type_symbol
_atom_site_fract_x
_atom_site_fract_y
_atom_site_fract_z
_atom_site_occupancy
Lu1 Lu 0.0000 0.0000 0.0000 1
Lu2 Lu 0.0141 0.4951 0.0263 1
Lu3 Lu 0.4330 0.9542 0.5242 1
Lu4 Lu 0.4586 0.4163 0.5057 1
Lu5 Lu 0.4969 0.5225 0.0259 1
Lu6 Lu 0.5220 0.9857 0.0071 1
Lu7 Lu 0.9408 0.4436 0.5044 1
Lu8 Lu 0.9556 0.9361 0.5294 1
Sb1 Sb 0.2264 0.7283 0.2790 1
Sb2 Sb 0.2295 0.2042 0.2565 1
Sb3 Sb 0.2324 0.7023 0.7548 1
Sb4 Sb 0.2346 0.2281 0.7845 1
Sb5 Sb 0.7201 0.7101 0.7468 1
Sb6 Sb 0.7233 0.2364 0.7762 1
Sb7 Sb 0.7259 0.7348 0.2749 1
Sb8 Sb 0.7288 0.2111 0.2520 1
N1 N 0.1718 0.9729 0.3484 1
N2 N 0.2639 0.1164 0.0185 1
N3 N 0.2777 0.4677 0.8544 1
N4 N 0.3239 0.6740 0.5148 1
N5 N 0.4741 0.7691 0.1916 1
N6 N 0.4746 0.7761 0.8286 1
N7 N 0.4798 0.1624 0.7028 1
N8 N 0.4808 0.1701 0.3399 1
N9 N 0.6318 0.2646 0.0163 1
N10 N 0.6775 0.4698 0.6770 1
N11 N 0.6909 0.8221 0.5126 1
N12 N 0.7844 0.9664 0.1836 1
N13 N 0.9752 0.2652 0.8411 1
N14 N 0.9770 0.2929 0.2229 1
N15 N 0.9780 0.6521 0.3143 1
N16 N 0.9789 0.6716 0.6931 1
O1 O 0.1406 0.7534 0.0143 1
O2 O 0.1695 0.9714 0.7129 1
O3 O 0.1917 0.3037 0.5254 1
O4 O 0.2859 0.4665 0.2111 1
O5 O 0.6695 0.4729 0.3211 1
O6 O 0.7640 0.6356 0.0077 1
O7 O 0.7847 0.9665 0.8185 1
O8 O 0.8155 0.1839 0.5183 1
```

Values for mass density, g/cm³, ordered as above
8.9 8.7 8.5 9.2